No. 1
First-principles (PBE) data for an optimized crystal structure of SrCuSbTe2, as listed in the Alexandria database. Values from VASP.

```
&SYSTEM
  ibrav = 0, nat = 5, ntyp = 4
/
ATOMIC_SPECIES
Sb 121.76 Sb.upf
Te 127.60 Te.upf
Cu 63.55 Cu.upf
Sr 87.62 Sr.upf
ATOMIC_POSITIONS crystal
Sb 0.000 0.000 0.500
Te 0.000 0.500 0.000
Te 0.500 0.000 0.000
Cu 0.500 0.500 0.500
Sr 0.000 0.000 0.000
CELL_PARAMETERS angstrom
-1.676 2.725 5.173
4.386 -2.972 2.987
3.872 4.560 -1.148
```

SG: No. 123



No. 2
First-principles (PBE) data for an optimized crystal structure of InCo2Br, as listed in the Alexandria database. Values from VASP.

```
&SYSTEM
  ibrav = 0, nat = 4, ntyp = 3
/
ATOMIC_SPECIES
Br 79.90 Br.upf
Co 58.93 Co.upf
In 114.82 In.upf
ATOMIC_POSITIONS crystal
Br 0.500 0.877 0.856
Co 0.000 0.875 0.115
Co 0.500 0.375 0.115
In 0.000 0.373 0.414
CELL_PARAMETERS angstrom
-0.484 -2.079 2.714
2.870 -1.739 -0.821
3.821 4.355 4.018
```

SG: No. 6



Number 1: total magnetization 0.000 μB/f.u., polymorph energy (0 for the lowest one) 1136 meV/atom. Number 2: total magnetization 3.125 μB/f.u., polymorph energy (0 for the lowest one) 60 meV/atom.